1.
Computed, not measured: crystalline TlAgSe2 at its relaxed geometry at the PBE-GGA level of DFT.

Cell: 4.570 6.217 8.433 Å, 103.11 90.41 104.67°
Element x y z (fractional)
Tl1 0.000 0.000 0.000
Tl2 0.150 0.590 0.550
Ag1 0.456 0.257 0.744
Ag2 0.823 0.468 0.062
Se1 0.345 0.601 0.946
Se2 0.518 0.284 0.281
Se3 0.627 0.943 0.328
Se4 0.846 0.054 0.608

Energy relative to the elements, uncorrected   -0.159 eV/atom
Magnetic moment   0.00 μB/cell
Uncorrected energy   -3.206 eV/atom
Space-group type   P1, No. 1

***

2.
Computed, not measured: crystalline Sc2CoHg at its relaxed geometry at the PBE-GGA level of DFT.

Cell: 5.835 5.835 5.835 Å, 147.90 133.26 57.83°
Element x y z (fractional)
Sc1 0.000 0.000 0.000
Sc2 0.702 0.202 0.500
Co1 0.201 0.701 0.500
Hg1 0.418 0.418 0.000

Magnetic moment   0.31 μB/cell
Uncorrected energy   -5.202 eV/atom
ΔH_f (0 K)   -0.74 eV per formula unit
Space-group type   Imm2, No. 44

***

3.
Computed, not measured: crystalline LiTlRe4 at its relaxed geometry at the PBE-GGA level of DFT.

Cell: 5.273 5.273 5.273 Å, 60.00 60.00 60.00°
Element x y z (fractional)
Li1 0.000 0.000 0.000
Tl1 0.250 0.250 0.250
Re1 0.124 0.625 0.625
Re2 0.625 0.124 0.625
Re3 0.625 0.625 0.124
Re4 0.625 0.625 0.625

Magnetic moment   0.00 μB/cell
Uncorrected energy   -8.360 eV/atom
ΔH_f (0 K)   3.91 eV per formula unit
Space-group type   F-43m, No. 216

***

4.
Computed, not measured: crystalline PaAl2Au3 at its relaxed geometry at the PBE-GGA level of DFT.

Cell: 8.672 8.672 10.394 Å, 105.55 105.55 28.10°
Element x y z (fractional)
Pa1 0.000 0.000 0.000
Pa2 0.145 0.145 0.698
Pa3 0.855 0.855 0.302
Al1 0.203 0.203 0.072
Al2 0.342 0.342 0.555
Al3 0.492 0.492 0.243
Al4 0.508 0.508 0.757
Al5 0.658 0.658 0.445
Al6 0.797 0.797 0.928
Au1 0.059 0.059 0.368
Au2 0.229 0.229 0.340
Au3 0.355 0.355 0.081
Au4 0.372 0.372 0.825
Au5 0.500 0.500 0.500
Au6 0.628 0.628 0.175
Au7 0.645 0.645 0.919
Au8 0.771 0.771 0.660
Au9 0.941 0.941 0.632

Magnetic moment   0.63 μB/cell
Uncorrected energy   -4.878 eV/atom
ΔH_f (0 K)   -2.45 eV per formula unit
Space-group type   C2/m, No. 12
ΔE to the lowest computed polymorph   0.0000 eV per atom

***

Repeat the second record exactly.
Computed, not measured: crystalline Sc2CoHg at its relaxed geometry at the PBE-GGA level of DFT.

Cell: 5.835 5.835 5.835 Å, 147.90 133.26 57.83°
Element x y z (fractional)
Sc1 0.000 0.000 0.000
Sc2 0.702 0.202 0.500
Co1 0.201 0.701 0.500
Hg1 0.418 0.418 0.000

Magnetic moment   0.31 μB/cell
Uncorrected energy   -5.202 eV/atom
ΔH_f (0 K)   -0.74 eV per formula unit
Space-group type   Imm2, No. 44

***

Q: magnetic moment of number 3 (LiTlRe4)?
A: 0.00 μB/cell